Entry 1:
Entry from the Alexandria database: a geometry-optimized CaPmHgPb structure (PBE-GGA).

a b c (Å): 5.4668 5.4668 5.4668
angles (deg): 60.00 60.00 60.00
Atoms (fractional coordinates):
Ca (0.0000, 0.0000, 0.0000)
Pm (0.5000, 0.5000, 0.5000)
Hg (0.7500, 0.7500, 0.7500)
Pb (0.2500, 0.2500, 0.2500)

Values from the calculation:
space group	F-43m
V	28.9	A^3/atom
formation enthalpy at 0 K	-50.4	kJ/mol of atoms

---

Entry 2:
Entry from the Alexandria database: a geometry-optimized Ca2PrHg2Pb2 structure (PBE-GGA).

a b c (Å): 9.5388 9.5388 9.5388
angles (deg): 31.12 31.12 31.12
Atoms (fractional coordinates):
Ca (0.1341, 0.1341, 0.1341)
Ca (0.8659, 0.8659, 0.8659)
Pr (0.0000, 0.0000, 0.0000)
Hg (0.4383, 0.4383, 0.4383)
Hg (0.5617, 0.5617, 0.5617)
Pb (0.2687, 0.2687, 0.2687)
Pb (0.7313, 0.7313, 0.7313)

Values from the calculation:
space group	R-3m
V	29.4	A^3/atom
formation enthalpy at 0 K	-34.6	kJ/mol of atoms

---

Entry 3:
Entry from the Alexandria database: a geometry-optimized CaPuHgPb structure (PBE-GGA).

a b c (Å): 5.4543 5.4543 5.4543
angles (deg): 60.00 60.00 60.00
Atoms (fractional coordinates):
Ca (0.0000, 0.0000, 0.0000)
Pu (0.5000, 0.5000, 0.5000)
Hg (0.7500, 0.7500, 0.7500)
Pb (0.2500, 0.2500, 0.2500)

Values from the calculation:
space group	F-43m
energy above the lowest structure with this stoichiometry	0.0000	eV per atom
V	28.7	A^3/atom
formation enthalpy at 0 K	-32.2	kJ/mol of atoms

---

Entry 4:
Entry from the Alexandria database: a geometry-optimized CaPuHgPb structure (PBE-GGA).

a b c (Å): 3.7124 5.5427 5.5483
angles (deg): 90.00 90.00 90.00
Atoms (fractional coordinates):
Ca (0.0000, 0.0000, 0.0000)
Pu (0.0000, 0.5000, 0.5000)
Hg (0.5000, 0.0000, 0.5000)
Pb (0.5000, 0.5000, 0.0000)

Values from the calculation:
space group	Pmmm
energy above the lowest structure with this stoichiometry	0.0198	eV per atom
V	28.5	A^3/atom
formation enthalpy at 0 K	-30.3	kJ/mol of atoms

---

Entry 5:
Entry from the Alexandria database: a geometry-optimized RbCaHgPb2 structure (PBE-GGA).

a b c (Å): 6.0326 6.0326 6.0712
angles (deg): 90.00 90.00 90.00
Atoms (fractional coordinates):
Rb (0.0000, 0.0000, 0.0000)
Ca (0.5000, 0.5000, 0.5000)
Hg (0.5000, 0.5000, 0.0000)
Pb (0.0000, 0.5000, 0.5000)
Pb (0.5000, 0.0000, 0.5000)

Values from the calculation:
space group	P4/mmm
V	44.2	A^3/atom
formation enthalpy at 0 K	9.6	kJ/mol of atoms

---

Entry 6:
Entry from the Alexandria database: a geometry-optimized RbCaHgPb structure (PBE-GGA).

a b c (Å): 5.7978 5.7978 5.7978
angles (deg): 60.00 60.00 60.00
Atoms (fractional coordinates):
Rb (0.0000, 0.0000, 0.0000)
Ca (0.5000, 0.5000, 0.5000)
Hg (0.2500, 0.2500, 0.2500)
Pb (0.7500, 0.7500, 0.7500)

Values from the calculation:
space group	F-43m
V	34.5	A^3/atom
formation enthalpy at 0 K	-17.9	kJ/mol of atoms

---

Entry 7:
Entry from the Alexandria database: a geometry-optimized CaHgRhPb2 structure (PBE-GGA).

a b c (Å): 5.2586 5.2586 5.4333
angles (deg): 90.00 90.00 90.00
Atoms (fractional coordinates):
Ca (0.0000, 0.0000, 0.0000)
Hg (0.5000, 0.5000, 0.0000)
Rh (0.0000, 0.0000, 0.5000)
Pb (0.0000, 0.5000, 0.5000)
Pb (0.5000, 0.0000, 0.5000)

Values from the calculation:
space group	P4/mmm
V	30.0	A^3/atom
formation enthalpy at 0 K	-18.6	kJ/mol of atoms

---

Entry 8:
Entry from the Alexandria database: a geometry-optimized CaSmHgPb structure (PBE-GGA).

a b c (Å): 5.4537 5.4537 5.4537
angles (deg): 60.00 60.00 60.00
Atoms (fractional coordinates):
Ca (0.0000, 0.0000, 0.0000)
Sm (0.5000, 0.5000, 0.5000)
Hg (0.2500, 0.2500, 0.2500)
Pb (0.7500, 0.7500, 0.7500)

Values from the calculation:
space group	F-43m
V	28.7	A^3/atom
formation enthalpy at 0 K	-49.8	kJ/mol of atoms

---

no.,electronic total energy (eV/atom)
1,-3.21
2,-2.76
3,-5.42
4,-5.40
5,-2.04
6,-1.93
7,-3.61
8,-3.20